No. 1
# Ba2CoSi2

An optimized crystal structure of Ba2CoSi2 (PBE-GGA, the Alexandria database).

a = 6.6192 Å, b = 6.6192 Å, c = 5.4320 Å
α = 90.00°, β = 90.00°, γ = 90.00°
With the nearest neighbours (Å) after each atom.
Fractional coordinates of all 10 atoms:
Co: 0.5000 0.5000 0.0000  4 Si 2.57
Co: 0.0000 0.0000 0.0000  4 Si 2.57
Ba: 0.8215 0.3215 0.5000  6 Si 3.22-3.43, 5 Ba 3.34-3.44
Ba: 0.1785 0.6785 0.5000  6 Si 3.22-3.43, 5 Ba 3.34-3.44
Ba: 0.6785 0.8215 0.5000  6 Si 3.22-3.43, 5 Ba 3.34-3.44
Ba: 0.3215 0.1785 0.5000  6 Si 3.22-3.43, 5 Ba 3.34-3.44
Si: 0.1359 0.3641 0.0000  1 Si 2.54, 2 Co 2.57
Si: 0.8641 0.6359 0.0000  1 Si 2.54, 2 Co 2.57
Si: 0.3641 0.8641 0.0000  1 Si 2.54, 2 Co 2.57
Si: 0.6359 0.1359 0.0000  1 Si 2.54, 2 Co 2.57

## Properties
VASP energy = -21.3 eV per formula unit
magnetic moment = 1.840 μB/cell

=====

No. 2
# BaCoSi

An optimized crystal structure of BaCoSi (PBE-GGA, the Alexandria database).

a = 4.9062 Å, b = 4.9062 Å, c = 4.9062 Å
α = 60.00°, β = 60.00°, γ = 60.00°
With the nearest neighbours (Å) after each atom.
Fractional coordinates of all 3 atoms:
Co: 0.5000 0.5000 0.5000  4 Si 3.00
Ba: 0.0000 0.0000 0.0000  4 Si 3.00
Si: 0.7500 0.7500 0.7500  4 Ba 3.00, 4 Co 3.00

## Properties
VASP energy = -12.4 eV per formula unit
magnetic moment = 2.457 μB/cell

=====

No. 3
# BaCoSi2

An optimized crystal structure of BaCoSi2 (PBE-GGA, the Alexandria database).

a = 5.2664 Å, b = 5.2664 Å, c = 7.9243 Å
α = 70.59°, β = 70.59°, γ = 90.00°
With the nearest neighbours (Å) after each atom.
Fractional coordinates of all 8 atoms:
Si: 0.8750 0.6249 0.7500  2 Co 2.19
Si: 0.3749 0.1250 0.2500  2 Co 2.19
Si: 0.3750 0.6251 0.7500  2 Co 2.19
Si: 0.3751 0.6250 0.2500  2 Co 2.19
Co: 0.5000 0.5000 0.0000  4 Si 2.19
Co: 0.2500 0.7500 0.5000  4 Si 2.19
Ba: 0.7500 0.2500 0.5000  8 Si 3.42, 4 Co 3.72
Ba: 0.0000 0.0000 0.0000  8 Si 3.42, 4 Co 3.72

## Properties
VASP energy = -21.0 eV per formula unit
magnetic moment = 0.001 μB/cell

=====

No. 4
# BaCoSi2

An optimized crystal structure of BaCoSi2 (PBE-GGA, the Alexandria database).

a = 3.9750 Å, b = 3.9750 Å, c = 6.5257 Å
α = 72.27°, β = 72.27°, γ = 59.95°
With the nearest neighbours (Å) after each atom.
Fractional coordinates of all 4 atoms:
Si: 0.0303 0.0303 0.9087  3 Co 2.34, 3 Si 2.55
Si: 0.3033 0.3033 0.0910  3 Co 2.38, 3 Si 2.55
Ba: 0.4947 0.4947 0.5151  1 Co 3.24, 7 Si 3.32-3.52
Co: 0.6717 0.6717 0.9852  6 Si 2.34-2.38

## Properties
VASP energy = -21.3 eV per formula unit
magnetic moment = 0.026 μB/cell

=====

No. 5
# BaCoSi2

An optimized crystal structure of BaCoSi2 (PBE-GGA, the Alexandria database).

a = 5.4013 Å, b = 5.4013 Å, c = 5.4013 Å
α = 136.79°, β = 105.94°, γ = 89.80°
With the nearest neighbours (Å) after each atom.
Fractional coordinates of all 4 atoms:
Ba: 0.7500 0.2500 0.5000  8 Si 3.34-3.45
Si: 0.1009 0.1009 0.0000  1 Si 2.28, 2 Co 2.29
Si: 0.3991 0.3991 0.0000  1 Si 2.28, 2 Co 2.29
Co: 0.2500 0.7500 0.5000  4 Si 2.29

## Properties
VASP energy = -19.9 eV per formula unit
magnetic moment = 0.002 μB/cell

=====

No. 6
# BaCoSi

An optimized crystal structure of BaCoSi (PBE-GGA, the Alexandria database).

a = 4.0116 Å, b = 4.0116 Å, c = 5.0909 Å
α = 90.00°, β = 90.00°, γ = 120.00°
With the nearest neighbours (Å) after each atom.
Fractional coordinates of all 3 atoms:
Co: 0.6667 0.3333 0.5002  3 Si 2.32
Si: 0.3333 0.6667 0.4998  3 Co 2.32
Ba: 0.0000 0.0000 0.0000  6 Co 3.44, 6 Si 3.44

## Properties
VASP energy = -14.9 eV per formula unit
magnetic moment = 0.002 μB/cell